w | PBE La2ErGa, optimized geometry; magnetic moment = 0.02 μB/cell
1.0
5.506 0.000 0.000
2.753 4.768 0.000
2.753 1.589 4.496
La Er Ga
2 1 1
direct
0.750 0.750 0.750
0.250 0.250 0.250
0.000 0.000 0.000
0.500 0.500 0.500

---

x | PBE La2ErGa, optimized geometry; magnetic moment = 0.69 μB/cell
1.0
-1.862 3.211 0.415
-3.623 0.187 -0.891
-4.407 -1.642 9.748
Er La Ga
1 2 1
direct
0.500 0.500 0.500
0.260 0.260 0.220
0.073 0.073 0.780
0.667 0.667 0.000

---

Most stable: w. Least stable: x.

---

w | PBE La2ErGa, optimized geometry; magnetic moment = 0.01 μB/cell
1.0
3.777 0.000 0.000
0.000 3.777 0.000
0.000 0.000 8.639
Ga La Er
1 2 1
direct
0.500 0.500 0.000
0.000 0.000 0.210
0.000 0.000 0.790
0.500 0.500 0.500

---

x | PBE La2ErGa, optimized geometry; magnetic moment = 0.00 μB/cell
1.0
4.991 0.000 0.000
0.000 4.787 0.000
0.000 0.000 4.787
Er Ga La
1 1 2
direct
0.500 0.000 0.000
0.500 0.500 0.500
0.000 0.500 0.000
0.000 0.000 0.500

---

Most stable: x. Least stable: w.

---

w | PBE LaEr2Ga, optimized geometry; magnetic moment = 0.00 μB/cell
1.0
3.492 0.000 0.000
1.746 3.024 0.000
1.746 1.008 11.218
Er La Ga
2 1 1
direct
0.103 0.103 0.691
0.897 0.897 0.309
0.000 0.000 0.000
0.500 0.500 0.500

---

x | PBE LaEr2Ga, optimized geometry; magnetic moment = 0.01 μB/cell
1.0
-3.327 -3.366 0.087
1.804 -1.677 4.120
-2.899 2.929 2.461
Er Ga La
2 1 1
direct
0.000 0.000 0.500
0.000 0.500 0.000
0.500 0.000 0.000
0.500 0.500 0.500

---

Most stable: x. Least stable: w.

---

w | PBE LaEr2Ga, optimized geometry; magnetic moment = 0.00 μB/cell
1.0
3.532 0.000 0.000
0.000 3.532 0.000
0.000 0.000 9.020
Er Ga La
2 1 1
direct
0.000 0.000 0.201
0.000 0.000 0.799
0.500 0.500 0.000
0.500 0.500 0.500

---

x | PBE LaEr2Ga, optimized geometry; magnetic moment = 0.00 μB/cell
1.0
-4.030 0.742 -2.686
-1.453 -3.390 -3.226
-5.044 -3.427 2.153
Er La Ga
2 1 1
direct
0.047 0.047 0.858
0.276 0.276 0.172
0.491 0.491 0.527
0.686 0.686 0.942

---

Most stable: w. Least stable: x.